NaPmHg4: relaxed, GGA-PBE. Values from VASP.

## Properties
Formation energy from the elements in kJ per mole of atoms: -29
N(E_F) in states/eV/atom: 0.57
Magnetization in μB/f.u.: 0.000
ρ in g/cm3: 10.453
Distance to the lowest polymorph of the same formula in meV per atom: 6

Cell and atoms, written as Quantum ESPRESSO input:
```
&SYSTEM
  ibrav = 0, nat = 6, ntyp = 3
/
ATOMIC_SPECIES
Na 22.99 Na.upf
Pm 145.00 Pm.upf
Hg 200.59 Hg.upf
CELL_PARAMETERS angstrom
-1.695 2.690 -5.206
2.605 -4.373 -3.356
-3.243 -2.712 -2.815
ATOMIC_POSITIONS crystal
Na 0.002 0.997 0.498
Pm 0.501 0.498 0.998
Hg 0.565 0.901 0.264
Hg 0.438 0.094 0.731
Hg 0.097 0.434 0.732
Hg 0.905 0.560 0.265
```

=====

Na2PmHg3: relaxed, GGA-PBE. Values from VASP.

## Properties
Formation energy from the elements in kJ per mole of atoms: -31
N(E_F) in states/eV/atom: 0.75
Magnetization in μB/f.u.: 0.000
ρ in g/cm3: 8.419
Distance to the lowest polymorph of the same formula in meV per atom: 0

Cell and atoms, written as Quantum ESPRESSO input:
```
&SYSTEM
  ibrav = 0, nat = 6, ntyp = 3
/
ATOMIC_SPECIES
Na 22.99 Na.upf
Pm 145.00 Pm.upf
Hg 200.59 Hg.upf
CELL_PARAMETERS angstrom
5.304 0.000 0.000
-2.652 4.593 0.000
0.000 0.000 6.418
ATOMIC_POSITIONS crystal
Na 0.667 0.333 0.355
Na 0.333 0.667 0.645
Pm 0.000 0.000 0.000
Hg 0.000 0.000 0.500
Hg 0.667 0.333 0.857
Hg 0.333 0.667 0.143
```

=====

Na2PmHg5: relaxed, GGA-PBE. Values from VASP.

## Properties
Formation energy from the elements in kJ per mole of atoms: -28
N(E_F) in states/eV/atom: 0.39
Magnetization in μB/f.u.: 0.000
ρ in g/cm3: 9.796

Cell and atoms, written as Quantum ESPRESSO input:
```
&SYSTEM
  ibrav = 0, nat = 8, ntyp = 3
/
ATOMIC_SPECIES
Na 22.99 Na.upf
Pm 145.00 Pm.upf
Hg 200.59 Hg.upf
CELL_PARAMETERS angstrom
4.581 0.000 -1.259
-0.346 4.568 -1.259
0.168 0.181 9.573
ATOMIC_POSITIONS crystal
Na 0.750 0.750 0.500
Na 0.250 0.250 0.500
Pm 0.000 0.000 0.000
Hg 0.500 0.500 0.000
Hg 0.873 0.373 0.745
Hg 0.373 0.873 0.745
Hg 0.127 0.627 0.255
Hg 0.627 0.127 0.255
```

=====

NaPm2Hg3: relaxed, GGA-PBE. Values from VASP.

## Properties
Formation energy from the elements in kJ per mole of atoms: -39
N(E_F) in states/eV/atom: 0.79
Magnetization in μB/f.u.: 0.000
ρ in g/cm3: 9.543
Distance to the lowest polymorph of the same formula in meV per atom: 0

Cell and atoms, written as Quantum ESPRESSO input:
```
&SYSTEM
  ibrav = 0, nat = 12, ntyp = 3
/
ATOMIC_SPECIES
Na 22.99 Na.upf
Pm 145.00 Pm.upf
Hg 200.59 Hg.upf
CELL_PARAMETERS angstrom
5.309 0.000 0.000
-2.655 4.598 0.000
0.000 0.000 13.041
ATOMIC_POSITIONS crystal
Na 0.333 0.667 0.666
Na 0.667 0.333 0.334
Pm 0.000 0.000 0.500
Pm 0.333 0.667 0.178
Pm 0.667 0.333 0.822
Pm 0.000 0.000 0.000
Hg 0.333 0.667 0.421
Hg 0.667 0.333 0.083
Hg 0.000 0.000 0.748
Hg 0.000 0.000 0.252
Hg 0.333 0.667 0.917
Hg 0.667 0.333 0.579
```

=====

NaPm2Hg4: relaxed, GGA-PBE. Values from VASP.

## Properties
Formation energy from the elements in kJ per mole of atoms: -27
N(E_F) in states/eV/atom: 0.73
Magnetization in μB/f.u.: 0.000
ρ in g/cm3: 9.420
Distance to the lowest polymorph of the same formula in meV per atom: 0

Cell and atoms, written as Quantum ESPRESSO input:
```
&SYSTEM
  ibrav = 0, nat = 7, ntyp = 3
/
ATOMIC_SPECIES
Na 22.99 Na.upf
Pm 145.00 Pm.upf
Hg 200.59 Hg.upf
CELL_PARAMETERS angstrom
4.938 0.000 1.543
2.228 4.407 1.543
-0.099 -0.061 8.993
ATOMIC_POSITIONS crystal
Na 0.000 0.000 0.000
Pm 0.751 0.751 0.748
Pm 0.249 0.249 0.252
Hg 0.874 0.874 0.379
Hg 0.126 0.126 0.621
Hg 0.624 0.624 0.128
Hg 0.376 0.376 0.872
```

=====

Na2PmHg9: relaxed, GGA-PBE. Values from VASP.

## Properties
Formation energy from the elements in kJ per mole of atoms: -23
N(E_F) in states/eV/atom: 0.28
Magnetization in μB/f.u.: 0.000
ρ in g/cm3: 10.849

Cell and atoms, written as Quantum ESPRESSO input:
```
&SYSTEM
  ibrav = 0, nat = 12, ntyp = 3
/
ATOMIC_SPECIES
Na 22.99 Na.upf
Pm 145.00 Pm.upf
Hg 200.59 Hg.upf
CELL_PARAMETERS angstrom
-0.060 -4.553 -1.059
4.389 -0.420 1.556
-4.816 -2.911 12.796
ATOMIC_POSITIONS crystal
Na 0.000 0.000 0.335
Na 0.000 0.000 0.665
Pm 0.000 0.000 0.000
Hg 0.500 0.500 0.000
Hg 0.500 0.500 0.332
Hg 0.500 0.500 0.668
Hg 0.500 0.000 0.168
Hg 0.500 0.000 0.500
Hg 0.500 0.000 0.832
Hg 0.000 0.500 0.168
Hg 0.000 0.500 0.500
Hg 0.000 0.500 0.832
```

=====

Question: Number 3 is which compound?
Answer: Na2PmHg5

=====

Question: Which formula does entry 3 have?
Answer: Na2PmHg5

=====

Question: Which value of ρ does entry 5 give?
Answer: 9.420 g/cm3